LaHo2In3CuAg2, optimized geometry, DFT GGA-PBE; electronic total energy = -3.94 eV per atom
1.0
3.953 0.000 0.000
0.000 6.841 3.921
0.000 -6.841 3.921
La Ho In Cu Ag
1 2 3 1 2
direct
0.000 0.000 0.000
0.000 0.405 0.805
0.000 0.805 0.405
0.500 0.158 0.412
0.500 0.412 0.158
0.500 0.651 0.651
0.000 0.409 0.409
0.500 0.076 0.732
0.500 0.732 0.076

Sc2Si4Mo3, optimized geometry, DFT GGA-PBE; electronic total energy = -8.16 eV per atom
1.0
6.558 0.000 0.000
0.000 12.672 0.000
0.000 0.000 6.792
Sc Si Mo
8 16 12
direct
0.004 0.092 0.170
0.004 0.408 0.170
0.496 0.592 0.670
0.496 0.908 0.670
0.504 0.092 0.330
0.504 0.408 0.330
0.996 0.592 0.830
0.996 0.908 0.830
0.032 0.250 0.876
0.165 0.045 0.538
0.165 0.455 0.538
0.200 0.750 0.641
0.300 0.250 0.141
0.335 0.545 0.038
0.335 0.955 0.038
0.468 0.750 0.376
0.532 0.250 0.624
0.665 0.045 0.962
0.665 0.455 0.962
0.700 0.750 0.859
0.800 0.250 0.359
0.835 0.545 0.462
0.835 0.955 0.462
0.968 0.750 0.124
0.165 0.250 0.495
0.171 0.624 0.335
0.171 0.876 0.335
0.329 0.124 0.835
0.329 0.376 0.835
0.335 0.750 0.995
0.665 0.250 0.005
0.671 0.624 0.165
0.671 0.876 0.165
0.829 0.124 0.665
0.829 0.376 0.665
0.835 0.750 0.505

ScZn2Sn, optimized geometry, DFT GGA-PBE; electronic total energy = -3.31 eV per atom
1.0
0.000 3.389 3.389
3.389 0.000 3.389
3.389 3.389 0.000
Sc Zn Sn
1 2 1
direct
0.000 0.000 0.000
0.250 0.250 0.250
0.500 0.500 0.500
0.750 0.750 0.750

PmSnIr4, optimized geometry, DFT GGA-PBE; electronic total energy = -7.25 eV per atom
1.0
3.801 0.000 0.000
0.000 3.801 0.000
0.000 0.000 8.499
Pm Sn Ir
1 1 4
direct
0.000 0.000 0.000
0.500 0.500 0.500
0.000 0.500 0.271
0.000 0.500 0.729
0.500 0.000 0.271
0.500 0.000 0.729

CdInFeOs, optimized geometry, DFT GGA-PBE; electronic total energy = -5.24 eV per atom
1.0
0.000 3.223 3.223
3.223 0.000 3.223
3.223 3.223 0.000
Cd In Fe Os
1 1 1 1
direct
0.000 0.000 0.000
0.500 0.500 0.500
0.750 0.750 0.750
0.250 0.250 0.250

NbPdAu, optimized geometry, DFT GGA-PBE; ΔE_f = 0.28 eV/atom
1.0
0.000 3.120 3.120
3.120 0.000 3.120
3.120 3.120 0.000
Nb Pd Au
1 1 1
direct
0.000 0.000 0.000
0.750 0.750 0.750
0.250 0.250 0.250